A plane-wave DFT calculation with PBE was carried out for a geometry-optimized Tb5Hg2O2 structure.

a b c (Å): 10.202 10.202 10.202
angles (deg): 140.83 56.85 140.49
Sites, in units of the cell vectors:
1 Tb 0.000 0.000 0.500
2 Tb 0.000 0.500 0.000
3 Tb 0.224 0.087 0.137
4 Tb 0.230 0.000 0.730
5 Tb 0.230 0.500 0.230
6 Tb 0.450 0.087 0.363
7 Tb 0.550 0.913 0.637
8 Tb 0.770 0.000 0.270
9 Tb 0.770 0.500 0.770
10 Tb 0.776 0.913 0.863
11 Hg 0.112 0.484 0.628
12 Hg 0.356 0.484 0.872
13 Hg 0.644 0.516 0.128
14 Hg 0.888 0.516 0.372
15 O 0.000 0.000 0.000
16 O 0.219 0.969 0.250
17 O 0.500 0.000 0.500
18 O 0.781 0.031 0.750

Raw total energy, eV per atom: -5.24
E_form (uncorrected), eV/f.u.: -13.45
Crystal system: orthorhombic

***

A plane-wave DFT calculation with PBE was carried out for a geometry-optimized TbTcHgO6 structure.

a b c (Å): 5.730 5.730 5.366
angles (deg): 98.32 98.32 120.25
Sites, in units of the cell vectors:
1 Tb 0.000 0.000 0.000
2 Tc 0.354 0.646 0.000
3 Hg 0.687 0.313 0.500
4 O 0.002 0.643 0.787
5 O 0.121 0.446 0.194
6 O 0.253 0.325 0.776
7 O 0.357 0.998 0.213
8 O 0.554 0.879 0.806
9 O 0.675 0.747 0.224

Raw total energy, eV per atom: -6.61
E_form (uncorrected), eV/f.u.: -14.47
Crystal system: monoclinic

***

A plane-wave DFT calculation with PBE was carried out for a geometry-optimized Tb2YHgO structure.

a b c (Å): 4.786 4.786 4.782
angles (deg): 90.00 90.00 90.00
Sites, in units of the cell vectors:
1 Tb 0.000 0.500 0.000
2 Tb 0.500 0.000 0.000
3 Y 0.000 0.000 0.500
4 Hg 0.500 0.500 0.500
5 O 0.000 0.000 0.000

Raw total energy, eV per atom: -5.59
E_form (uncorrected), eV/f.u.: -6.97
Crystal system: tetragonal

***

A plane-wave DFT calculation with PBE was carried out for a geometry-optimized Tb4ZnHgO structure.

a b c (Å): 8.143 8.143 6.717
angles (deg): 90.00 90.00 131.40
Sites, in units of the cell vectors:
1 Tb 0.000 0.500 0.000
2 Tb 0.000 0.500 0.500
3 Tb 0.066 0.934 0.750
4 Tb 0.425 0.575 0.750
5 Tb 0.500 0.000 0.000
6 Tb 0.500 0.000 0.500
7 Tb 0.575 0.425 0.250
8 Tb 0.934 0.066 0.250
9 Zn 0.126 0.874 0.250
10 Zn 0.874 0.126 0.750
11 Hg 0.380 0.620 0.250
12 Hg 0.620 0.380 0.750
13 O 0.251 0.749 0.750
14 O 0.749 0.251 0.250

Raw total energy, eV per atom: -4.60
E_form (uncorrected), eV/f.u.: -7.16
Crystal system: orthorhombic

***

A plane-wave DFT calculation with PBE was carried out for a geometry-optimized TcHgO2 structure.

a b c (Å): 8.060 8.060 8.060
angles (deg): 20.24 20.24 20.24
Sites, in units of the cell vectors:
1 Tc 0.000 0.000 0.000
2 Hg 0.500 0.500 0.500
3 O 0.387 0.387 0.387
4 O 0.613 0.613 0.613

Raw total energy, eV per atom: -5.98
E_form (uncorrected), eV/f.u.: -3.32
Crystal system: trigonal

***

A plane-wave DFT calculation with PBE was carried out for a geometry-optimized Tc2HgO8 structure.

a b c (Å): 7.072 7.072 6.067
angles (deg): 114.30 114.30 54.87
Sites, in units of the cell vectors:
1 Tc 0.191 0.191 0.159
2 Tc 0.809 0.809 0.841
3 Hg 0.000 0.000 0.500
4 O 0.078 0.654 0.763
5 O 0.153 0.153 0.828
6 O 0.346 0.346 0.322
7 O 0.346 0.922 0.237
8 O 0.654 0.078 0.763
9 O 0.654 0.654 0.678
10 O 0.847 0.847 0.172
11 O 0.922 0.346 0.237

Raw total energy, eV per atom: -6.62
E_form (uncorrected), eV/f.u.: -12.08
Crystal system: monoclinic

***

A plane-wave DFT calculation with PBE was carried out for a geometry-optimized TcHgO2 structure.

a b c (Å): 6.129 6.129 6.129
angles (deg): 120.38 120.38 89.34
Sites, in units of the cell vectors:
1 Tc 0.375 0.625 0.750
2 Tc 0.625 0.375 0.250
3 Hg 0.125 0.875 0.250
4 Hg 0.875 0.125 0.750
5 O 0.000 0.500 0.500
6 O 0.500 0.000 0.000
7 O 0.500 0.500 0.000
8 O 0.500 0.500 0.500

Raw total energy, eV per atom: -5.88
E_form (uncorrected), eV/f.u.: -2.92
Crystal system: tetragonal

***

A plane-wave DFT calculation with PBE was carried out for a geometry-optimized TcHg2O5 structure.

a b c (Å): 6.301 6.301 10.923
angles (deg): 90.00 90.00 144.71
Sites, in units of the cell vectors:
1 Tc 0.148 0.852 0.750
2 Tc 0.852 0.148 0.250
3 Hg 0.141 0.859 0.082
4 Hg 0.141 0.859 0.418
5 Hg 0.859 0.141 0.582
6 Hg 0.859 0.141 0.918
7 O 0.051 0.949 0.621
8 O 0.051 0.949 0.879
9 O 0.276 0.724 0.624
10 O 0.276 0.724 0.876
11 O 0.341 0.659 0.250
12 O 0.659 0.341 0.750
13 O 0.724 0.276 0.124
14 O 0.724 0.276 0.376
15 O 0.949 0.051 0.121
16 O 0.949 0.051 0.379

Raw total energy, eV per atom: -5.17
E_form (uncorrected), eV/f.u.: -5.56
Crystal system: orthorhombic